(1)
8
Lattice="3.893 0.000 0.000 0.000 3.893 0.000 1.946 1.946 10.569" Properties=species:S:1:pos:R:3 comment="CaRe2Ag (GGA-PBE, optimized geometry)" m_tot_mub_per_atom=0.000 total_energy_ev_per_atom=-6.5519 pbc="T T T"
Ca 1.946 3.893 5.285
Ca 1.946 1.946 0.000
Re 4.866 5.093 7.927
Re 0.746 2.920 2.642
Re 2.920 2.693 7.927
Re 3.147 0.973 2.642
Ag 3.893 1.946 5.285
Ag 0.000 0.000 0.000

***

(2)
5
Lattice="-3.411 -0.424 -3.773 2.510 -4.058 -1.813 -2.849 -3.066 2.920" Properties=species:S:1:pos:R:3 comment="CaReAg3 (GGA-PBE, optimized geometry)" m_tot_mub_per_atom=0.365 total_energy_ev_per_atom=-3.6347 pbc="T T T"
Ag -1.705 -0.212 -1.886
Ag 1.255 -2.029 -0.906
Ag -1.424 -1.533 1.460
Ca -1.875 -3.774 -1.332
Re 0.000 0.000 0.000

***

(3)
4
Lattice="-3.152 -0.967 1.153 -0.897 -0.942 -3.242 2.294 -6.115 1.141" Properties=species:S:1:pos:R:3 comment="CaRe2Ag (GGA-PBE, optimized geometry)" m_tot_mub_per_atom=0.000 total_energy_ev_per_atom=-6.4106 pbc="T T T"
Re 0.978 -2.606 0.486
Re 0.169 -0.451 0.084
Ca -0.304 -5.541 -0.188
Ag -1.451 -2.483 -0.759

***

(4)
4
Lattice="5.746 0.020 0.072 5.041 2.758 0.072 1.376 0.354 4.553" Properties=species:S:1:pos:R:3 comment="CaRe2Ag (GGA-PBE, optimized geometry)" m_tot_mub_per_atom=0.000 total_energy_ev_per_atom=-6.8328 pbc="T T T"
Re 1.552 0.400 4.497
Re 5.905 1.521 2.405
Ca 3.041 0.783 1.174
Ag 9.122 2.349 3.523

***

(5)
4
Lattice="-2.430 0.394 -0.972 -1.331 -4.618 1.455 -1.635 2.015 4.902" Properties=species:S:1:pos:R:3 comment="CaRe2Ag (GGA-PBE, optimized geometry)" m_tot_mub_per_atom=0.000 total_energy_ev_per_atom=-6.6576 pbc="T T T"
Ca -3.107 -0.601 3.918
Re -0.863 1.063 2.587
Re -1.590 1.959 4.766
Ag -2.289 -1.608 1.467

***

(6)
4
Lattice="10.227 -0.021 -0.012 9.840 2.785 -0.012 9.840 1.355 2.433" Properties=species:S:1:pos:R:3 comment="CaRe2Ag (GGA-PBE, optimized geometry)" m_tot_mub_per_atom=0.092 total_energy_ev_per_atom=-6.5638 pbc="T T T"
Re 29.809 4.106 2.400
Re 15.053 2.073 1.212
Ag 7.477 1.030 0.602
Ca 22.431 3.089 1.806

***

(7)
4
Lattice="3.413 0.000 0.000 0.000 3.413 0.000 0.000 0.000 8.649" Properties=species:S:1:pos:R:3 comment="Ca2ReAg (GGA-PBE, optimized geometry)" m_tot_mub_per_atom=0.279 total_energy_ev_per_atom=-4.1898 pbc="T T T"
Re 0.000 0.000 4.724
Ca 1.706 1.706 2.756
Ca 0.000 0.000 8.061
Ag 1.706 1.706 6.082

***

(8)
4
Lattice="2.813 -0.005 0.000 -0.943 2.650 0.000 0.000 0.000 9.596" Properties=species:S:1:pos:R:3 comment="CaRe2Ag (GGA-PBE, optimized geometry)" m_tot_mub_per_atom=0.000 total_energy_ev_per_atom=-6.8619 pbc="T T T"
Ag 0.000 0.000 4.644
Re 0.935 1.322 2.240
Re 0.000 0.000 0.222
Ca 0.935 1.322 7.288

***

(9)
4
Lattice="9.907 0.001 0.001 9.481 2.874 0.001 9.481 1.406 2.507" Properties=species:S:1:pos:R:3 comment="CaRe2Ag (GGA-PBE, optimized geometry)" m_tot_mub_per_atom=0.000 total_energy_ev_per_atom=-6.9240 pbc="T T T"
Ca 21.573 3.199 1.874
Ag 14.571 2.161 1.266
Re 7.392 1.096 0.642
Re 28.636 4.246 2.488

***

(10)
4
Lattice="-2.432 4.561 -1.798 -4.866 -2.344 0.879 -0.019 1.083 2.776" Properties=species:S:1:pos:R:3 comment="Ca2ReAg (GGA-PBE, optimized geometry)" m_tot_mub_per_atom=0.000 total_energy_ev_per_atom=-4.3280 pbc="T T T"
Ca 0.000 0.000 0.000
Ca -3.649 1.108 -0.459
Re -1.226 2.822 0.489
Ag -2.443 -0.631 1.828

***

(11)
4
Lattice="-2.250 1.197 -0.902 1.330 -0.460 -2.308 -4.322 -8.699 -0.757" Properties=species:S:1:pos:R:3 comment="CaRe2Ag (GGA-PBE, optimized geometry)" m_tot_mub_per_atom=0.000 total_energy_ev_per_atom=-6.6763 pbc="T T T"
Re -0.051 -0.103 -0.009
Re -2.110 -4.246 -0.370
Ca -3.702 -6.156 -2.173
Ag -1.541 -1.806 -1.794

***

(12)
4
Lattice="10.168 -0.019 -0.011 9.674 3.132 -0.011 9.674 1.518 2.739" Properties=species:S:1:pos:R:3 comment="Ca2ReAg (GGA-PBE, optimized geometry)" m_tot_mub_per_atom=0.121 total_energy_ev_per_atom=-4.2113 pbc="T T T"
Ca 14.884 2.335 1.370
Ca 29.391 4.611 2.706
Re 7.379 1.158 0.679
Ag 22.138 3.473 2.038

***

(13)
6
Lattice="0.000 3.766 3.766 3.766 0.000 3.766 3.766 3.766 0.000" Properties=species:S:1:pos:R:3 comment="CaRe4Ag (GGA-PBE, optimized geometry)" m_tot_mub_per_atom=0.000 total_energy_ev_per_atom=-8.6248 pbc="T T T"
Re 2.831 2.831 2.831
Re 4.701 4.701 2.831
Re 4.701 2.831 4.701
Re 2.831 4.701 4.701
Ag 5.649 5.649 5.649
Ca 0.000 0.000 0.000

***

(14)
4
Lattice="-0.174 3.048 4.260 -5.065 -0.560 1.223 3.387 -3.920 -0.795" Properties=species:S:1:pos:R:3 comment="Ca2ReAg (GGA-PBE, optimized geometry)" m_tot_mub_per_atom=0.410 total_energy_ev_per_atom=-4.1886 pbc="T T T"
Re 0.296 0.186 3.104
Ag -2.149 -1.618 1.585
Ca -2.619 1.244 2.741
Ca -0.001 0.000 0.001

***

(15)
4
Lattice="5.659 0.004 0.000 3.068 4.755 0.000 -4.364 -2.380 2.705" Properties=species:S:1:pos:R:3 comment="CaRe2Ag (GGA-PBE, optimized geometry)" m_tot_mub_per_atom=0.000 total_energy_ev_per_atom=-6.6832 pbc="T T T"
Ag 2.829 0.002 1.353
Re 0.000 0.000 0.000
Re 4.364 2.380 0.000
Ca 1.534 2.377 1.353

***

(16)
4
Lattice="-3.550 -1.497 3.142 -0.434 -4.806 -1.194 3.855 2.745 1.523" Properties=species:S:1:pos:R:3 comment="CaRe2Ag (GGA-PBE, optimized geometry)" m_tot_mub_per_atom=0.000 total_energy_ev_per_atom=-6.8108 pbc="T T T"
Re -3.869 -6.119 1.891
Re -0.975 -1.160 2.884
Ca 0.760 -2.534 0.629
Ag -2.022 -3.199 0.989

***

(17)
4
Lattice="-2.183 4.922 1.526 -4.667 -0.587 3.032 5.126 -2.222 0.328" Properties=species:S:1:pos:R:3 comment="Ca2ReAg (GGA-PBE, optimized geometry)" m_tot_mub_per_atom=0.394 total_energy_ev_per_atom=-4.1295 pbc="T T T"
Ca 0.000 0.000 0.000
Ca -1.483 -0.320 2.820
Re -3.425 2.168 2.279
Ag -0.241 2.434 2.067

***

(18)
4
Lattice="0.000 3.606 3.606 3.606 0.000 3.606 3.606 3.606 0.000" Properties=species:S:1:pos:R:3 comment="Ca2ReAg (GGA-PBE, optimized geometry)" m_tot_mub_per_atom=0.495 total_energy_ev_per_atom=-4.1817 pbc="T T T"
Ca 5.410 5.410 5.410
Ca 1.803 1.803 1.803
Ag 0.000 0.000 0.000
Re 3.606 3.606 3.606

***

(19)
4
Lattice="2.695 0.000 0.000 0.000 2.695 0.000 0.000 0.000 9.630" Properties=species:S:1:pos:R:3 comment="CaRe2Ag (GGA-PBE, optimized geometry)" m_tot_mub_per_atom=0.000 total_energy_ev_per_atom=-6.6639 pbc="T T T"
Ag 1.348 1.348 2.408
Re 0.000 0.000 0.133
Re 0.000 0.000 4.683
Ca 1.348 1.348 7.223

***

(20)
4
Lattice="6.501 0.006 -0.002 3.630 5.393 0.002 -4.335 -4.070 2.628" Properties=species:S:1:pos:R:3 comment="Ca2ReAg (GGA-PBE, optimized geometry)" m_tot_mub_per_atom=0.000 total_energy_ev_per_atom=-4.3151 pbc="T T T"
Ag 2.473 2.167 1.315
Re 4.864 2.592 0.000
Ca 0.234 0.125 0.000
Ca 3.290 -0.856 1.313